PBE-GGA Tc2SnRuC, relaxed; N(E_F) = 1.271 states/eV/atom; M_tot = 0.37 μB/f.u.; calculated formation energy = 106 meV per atom
1.0
4.130 0.000 0.000
0.000 4.130 0.000
0.000 0.000 4.130
Tc Sn Ru C
2 1 1 1
Direct
0.000 0.500 0.000
0.500 0.000 0.000
0.000 0.000 0.500
0.500 0.500 0.500
0.500 0.500 0.000